DFT (PBE) results for a geometry-optimized LaSc2 structure.

Cell lengths 5.9916, 5.9916, 5.4677 Å; angles 90.00, 90.00, 120.00 degrees
Space group P-62m (No. 189)
Asymmetric unit:
1 La 0.3333 0.6667 0.0000
2 Sc 0.0000 0.0000 0.0000
3 Sc 0.0000 0.3244 0.5000

Computed properties:
Formation enthalpy at 0 K   95 meV/atom
Excess energy over the best structure of this formula in the dataset   34 meV/atom
Fermi-level density of states   11.99 states/eV/cell